A relaxed In7C crystal, computed with GGA-PBE.

Properties
ΔH_f (0 K) (eV per formula unit): 5.7
M_tot (Bohr magnetons per cell): 0.64

Unit cell a=6.5438 b=6.5438 c=6.5438 alpha=60.00 beta=60.00 gamma=60.00
Fractional coordinates of all 8 atoms:
In (0.5000, 0.5000, 0.0000)
In (0.5000, 0.0000, 0.5000)
In (0.5000, 0.0000, 0.0000)
In (0.0000, 0.0000, 0.5000)
In (0.0000, 0.5000, 0.0000)
In (0.0000, 0.5000, 0.5000)
In (0.5000, 0.5000, 0.5000)
C (0.0000, 0.0000, 0.0000)